A plane-wave DFT calculation with PBE-GGA was carried out for a relaxed Ac8Te4As3Br crystal.

Cell lengths 9.3557, 9.3557, 9.3557 Å; angles 58.90, 58.90, 58.90 degrees
Element x y z (fractional)
Ac 0.2292 0.7490 0.7490
Ac 0.2403 0.2403 0.2403
Ac 0.2510 0.2510 0.7708
Ac 0.2510 0.7708 0.2510
Ac 0.7490 0.2292 0.7490
Ac 0.7490 0.7490 0.2292
Ac 0.7597 0.7597 0.7597
Ac 0.7708 0.2510 0.2510
Te 0.0000 0.0000 0.0000
Te 0.0000 0.5000 0.5000
Te 0.5000 0.0000 0.5000
Te 0.5000 0.5000 0.0000
As 0.0000 0.0000 0.5000
As 0.0000 0.5000 0.0000
As 0.5000 0.0000 0.0000
Br 0.5000 0.5000 0.5000

Results
E: -5.316 eV/atom
Space group: R-3m

A plane-wave DFT calculation with PBE-GGA was carried out for a relaxed Ac4TlAsBr2 crystal.

Cell lengths 7.8399, 4.7413, 8.1489 Å; angles 90.00, 110.90, 90.00 degrees
Element x y z (fractional)
Ac 0.2287 0.0000 0.2346
Ac 0.2361 0.5000 0.7564
Ac 0.7639 0.5000 0.2436
Ac 0.7713 0.0000 0.7654
Tl 0.0000 0.0000 0.5000
As 0.0000 0.5000 0.0000
Br 0.5000 0.0000 0.0000
Br 0.5000 0.5000 0.5000

Results
E: -4.433 eV/atom
Space group: P2/m

A plane-wave DFT calculation with PBE-GGA was carried out for a relaxed Ac4As2C crystal.

Cell lengths 5.2507, 5.2507, 16.2526 Å; angles 90.00, 90.00, 90.00 degrees
Element x y z (fractional)
Ac 0.0000 0.0000 0.1710
Ac 0.0000 0.0000 0.8290
Ac 0.0000 0.5000 0.0000
Ac 0.0000 0.5000 0.5000
Ac 0.5000 0.0000 0.0000
Ac 0.5000 0.0000 0.5000
Ac 0.5000 0.5000 0.3290
Ac 0.5000 0.5000 0.6710
As 0.0000 0.0000 0.3667
As 0.0000 0.0000 0.6333
As 0.5000 0.5000 0.1333
As 0.5000 0.5000 0.8667
C 0.0000 0.0000 0.0000
C 0.5000 0.5000 0.5000

Results
E_form: -3.9 eV/f.u.
Space group: I4/mmm

A plane-wave DFT calculation with PBE-GGA was carried out for a relaxed AcAsC crystal.

Cell lengths 4.4806, 4.5871, 7.5582 Å; angles 90.00, 95.84, 90.00 degrees
Element x y z (fractional)
Ac 0.0000 0.0000 0.0000
Ac 0.4978 0.5000 0.5180
As 0.0040 0.0000 0.5959
As 0.4831 0.5000 0.9532
C 0.7595 0.5000 0.1600
C 0.9985 0.5000 0.2675

Results
E_form: -1.3 eV/f.u.
Space group: Pm

A plane-wave DFT calculation with PBE-GGA was carried out for a relaxed Ac4AsCI2 crystal.

Cell lengths 7.6416, 4.2820, 8.5952 Å; angles 90.00, 106.37, 90.00 degrees
Element x y z (fractional)
Ac 0.2016 0.0000 0.1813
Ac 0.2392 0.5000 0.8094
Ac 0.7608 0.5000 0.1906
Ac 0.7984 0.0000 0.8187
As 0.5000 0.0000 0.0000
C 0.0000 0.5000 0.0000
I 0.0000 0.0000 0.5000
I 0.5000 0.5000 0.5000

Results
E: -5.088 eV/atom
Space group: P2/m

A plane-wave DFT calculation with PBE-GGA was carried out for a relaxed AcAsC2O8 crystal.

Cell lengths 4.4949, 4.4949, 7.1631 Å; angles 103.81, 103.81, 64.98 degrees
Element x y z (fractional)
Ac 0.0000 0.0000 0.0000
As 0.5000 0.5000 0.5000
C 0.2094 0.2094 0.6995
C 0.7906 0.7906 0.3005
O 0.1502 0.6716 0.3016
O 0.2706 0.2706 0.5399
O 0.3277 0.3277 0.8797
O 0.3284 0.8498 0.6984
O 0.6716 0.1502 0.3016
O 0.6723 0.6723 0.1203
O 0.7294 0.7294 0.4601
O 0.8498 0.3284 0.6984

Results
E: -7.120 eV/atom
Space group: C2/m

A plane-wave DFT calculation with PBE-GGA was carried out for a relaxed AcPaAsC crystal.

Cell lengths 14.4284, 14.4284, 14.4284 Å; angles 16.44, 16.44, 16.44 degrees
Element x y z (fractional)
Ac 0.2118 0.2118 0.2118
Ac 0.7882 0.7882 0.7882
Pa 0.3660 0.3660 0.3660
Pa 0.6340 0.6340 0.6340
As 0.0787 0.0787 0.0787
As 0.9213 0.9213 0.9213
C 0.3124 0.3124 0.3124
C 0.6876 0.6876 0.6876

Results
E_form: -2.3 eV/f.u.
Space group: R-3m

A plane-wave DFT calculation with PBE-GGA was carried out for a relaxed AcAsRh6C crystal.

Cell lengths 7.7543, 7.7543, 7.7543 Å; angles 126.29, 116.52, 87.80 degrees
Element x y z (fractional)
Ac 0.4191 0.1691 0.2500
Ac 0.5809 0.8309 0.7500
As 0.0000 0.0000 0.5000
As 0.0000 0.5000 0.0000
Rh 0.1051 0.4153 0.2741
Rh 0.1051 0.8311 0.6898
Rh 0.1459 0.8959 0.2500
Rh 0.2810 0.5310 0.7500
Rh 0.3588 0.1689 0.7741
Rh 0.3588 0.5847 0.1898
Rh 0.6412 0.4153 0.8102
Rh 0.6412 0.8311 0.2259
Rh 0.7190 0.4690 0.2500
Rh 0.8541 0.1041 0.7500
Rh 0.8949 0.1689 0.3102
Rh 0.8949 0.5847 0.7259
C 0.0000 0.5000 0.5000
C 0.5000 0.5000 0.0000

Results
E_form: -0.7 eV/f.u.
Space group: Imma